[1]
First-principles (GGA-PBEsol) data for a relaxed KSr2Rh crystal, as listed in the Alexandria database.

Geometry as extended XYZ:
```
4
Lattice="4.494 0.000 0.000 0.000 5.239 0.000 0.000 0.000 5.239" Properties=species:S:1:pos:R:3 pbc="T T T"
K 2.247 2.620 2.620
Rh 2.247 0.000 0.000
Sr 0.000 0.000 2.620
Sr 0.000 2.620 0.000
```

Results
- calculated density (Mg/m³) = 4.3
- relative energy among the computed polymorphs (eV per atom) = 0.364
- M_tot (μB per atom) = 0.00
- uncorrected energy (eV per atom) = -2.87
- space-group type = P4/mmm (123)
- E_form (eV per atom) = 0.364


[2]
First-principles (GGA-PBEsol) data for a relaxed KAs5 crystal, as listed in the Alexandria database.

Geometry as extended XYZ:
```
6
Lattice="3.565 0.000 0.000 0.000 4.491 0.000 0.000 -2.245 9.212" Properties=species:S:1:pos:R:3 pbc="T T T"
As 0.000 0.000 1.103
As 0.000 2.245 2.562
As 0.000 0.000 5.683
As 1.783 2.245 0.727
As 1.783 0.000 4.091
K 1.783 2.245 7.328
```

Results
- calculated density (Mg/m³) = 4.7
- M_tot (μB per atom) = 0.00
- uncorrected energy (eV per atom) = -4.40
- space-group type = Amm2 (38)
- E_form (eV per atom) = 0.040


[3]
First-principles (GGA-PBEsol) data for a relaxed KTlI2 crystal, as listed in the Alexandria database.

Geometry as extended XYZ:
```
8
Lattice="7.608 0.000 0.000 0.000 7.608 0.000 -3.804 -3.804 8.074" Properties=species:S:1:pos:R:3 pbc="T T T"
I 1.847 5.706 2.019
I 5.761 1.902 2.019
I -1.902 -1.957 6.056
I 1.902 1.957 6.056
Tl 0.000 3.804 4.037
Tl 0.000 0.000 0.000
K 3.804 0.000 4.037
K 3.804 3.804 0.000
```

Results
- calculated density (Mg/m³) = 3.5
- relative energy among the computed polymorphs (eV per atom) = 0.096
- M_tot (μB per atom) = 0.00
- uncorrected energy (eV per atom) = -2.72
- space-group type = I-42d (122)
- E_form (uncorrected) (meV per atom) = -893